Entry 1:
Entry from Alexandria: a relaxed structure of CsHg4Pt (GGA-PBE).

Values from the calculation:
As for the total energy: -9.30 eV per cell. The crystal system is tetragonal.

a b c (Å): 5.398 5.398 8.094
angles (deg): 90.00 90.00 90.00
Space group P4/mmm (No. 123)
Inequivalent atoms, fractional coordinates:
Cs1 0.000 0.000 0.000 x1
Hg1 0.000 0.500 0.500 x2
Hg2 0.500 0.500 0.176 x2
Pt1 0.500 0.500 0.500 x1

Entry 2:
Entry from Alexandria: a relaxed structure of Tl3S2Cl2 (GGA-PBE).

Values from the calculation:
The crystal system is monoclinic. The uncorrected formation energy comes out at -3.03 eV per formula unit.

a b c (Å): 13.834 3.986 7.757
angles (deg): 90.00 102.60 90.00
Space group C2/m (No. 12)
Inequivalent atoms, fractional coordinates:
Tl1 0.000 0.000 0.000 x2
Tl2 0.223 0.000 0.753 x4
S1 0.104 0.500 0.898 x4
Cl1 0.142 0.000 0.350 x4

Entry 3:
Entry from Alexandria: a relaxed structure of NdSmErHg (GGA-PBE).

Values from the calculation:
As for the total energy: -58.61 eV per cell. The crystal system is cubic.

a b c (Å): 7.768 7.768 7.768
angles (deg): 90.00 90.00 90.00
Space group F-43m (No. 216)
Inequivalent atoms, fractional coordinates:
Nd1 0.000 0.000 0.000 x4
Sm1 0.000 0.000 0.500 x4
Er1 0.250 0.250 0.250 x4
Hg1 0.250 0.250 0.750 x4

Entry 4:
Entry from Alexandria: a relaxed structure of Sr2CrOs (GGA-PBE).

Values from the calculation:
As for the total energy: -44.07 eV per cell. The crystal system is orthorhombic.

a b c (Å): 3.889 5.275 10.863
angles (deg): 90.00 90.00 90.00
Space group Imm2 (No. 44)
Inequivalent atoms, fractional coordinates:
Sr1 0.000 0.000 0.000 x2
Sr2 0.000 0.500 0.214 x2
Cr1 0.000 0.500 0.805 x2
Os1 0.000 0.000 0.419 x2

Entry 5:
Entry from Alexandria: a relaxed structure of BeRhW2 (GGA-PBE).

Values from the calculation:
As for the total energy: -36.89 eV per cell. The crystal system is monoclinic.

a b c (Å): 2.719 3.949 5.245
angles (deg): 90.00 95.18 90.00
Space group P2/m (No. 10)
Inequivalent atoms, fractional coordinates:
Be1 0.000 0.000 0.000 x1
Rh1 0.000 0.000 0.500 x1
W1 0.464 0.500 0.236 x2

Entry 6:
Entry from Alexandria: a relaxed structure of ErTm2Pd (GGA-PBE).

Values from the calculation:
As for the total energy: -82.72 eV per cell. The crystal system is orthorhombic.

a b c (Å): 6.928 9.515 6.409
angles (deg): 90.00 90.00 90.00
Space group Pnma (No. 62)
Inequivalent atoms, fractional coordinates:
Er1 0.021 0.250 0.127 x4
Tm1 0.182 0.058 0.679 x8
Pd1 0.107 0.750 0.446 x4

Copy entry 4 word for word.
Entry from Alexandria: a relaxed structure of Sr2CrOs (GGA-PBE).

Values from the calculation:
As for the total energy: -44.07 eV per cell. The crystal system is orthorhombic.

a b c (Å): 3.889 5.275 10.863
angles (deg): 90.00 90.00 90.00
Space group Imm2 (No. 44)
Inequivalent atoms, fractional coordinates:
Sr1 0.000 0.000 0.000 x2
Sr2 0.000 0.500 0.214 x2
Cr1 0.000 0.500 0.805 x2
Os1 0.000 0.000 0.419 x2